Computed, not measured: crystalline La2BeCo at its relaxed geometry at the PBE level of DFT.

Cell lengths 6.2271, 6.2271, 6.2271 Å; angles 146.86, 138.68, 53.96 degrees
Last column: nearest neighbours and their distance in Å.
Fractional coordinates of all 4 atoms:
Be: 0.4266 0.4266 0.0000  2 Co 2.19
Co: 0.3116 0.8116 0.5000  2 Be 2.19
La: 0.0250 0.0250 0.0000  4 Be 3.03, 2 La 3.22, 2 Co 3.23
La: 0.7368 0.2368 0.5000  4 Co 2.94, 2 Be 3.04, 2 La 3.22

Properties
total energy = -5.120 eV/atom
space group = Imm2, No. 44


Computed, not measured: crystalline La2BeCo at its relaxed geometry at the PBE level of DFT.

Cell lengths 7.6117, 7.6117, 7.6117 Å; angles 30.20, 30.20, 30.20 degrees
Last column: nearest neighbours and their distance in Å.
Fractional coordinates of all 4 atoms:
Be: 0.4580 0.4580 0.4580  3 Co 2.29
Co: 0.7921 0.7921 0.7921  3 Be 2.29
La: 0.0393 0.0393 0.0393  3 Be 2.95, 3 Co 2.96
La: 0.2106 0.2106 0.2106  3 Co 2.95, 3 Be 2.96

Properties
total energy = -5.273 eV/atom
space group = R3m, No. 160


One value per record, in order, for energy of formation from the pure elements: 0.051 -0.102 eV per atom.